An optimized crystal structure of Cr2AgBrO. Source: Alexandria via LeMat-Bulk, functional PBE with a Hubbard U.

The structure in CIF format:
```
data_Cr2AgBrO
_space_group_name_H-M_alt 'P 4/m m m'
_space_group_IT_number 123
_space_group_name_Hall '-P 4 2'
_cell_length_a 4.1980
_cell_length_b 4.1980
_cell_length_c 5.5177
_cell_angle_alpha 90.00
_cell_angle_beta 90.00
_cell_angle_gamma 90.00
loop_
_atom_site_label
_atom_site_type_symbol
_atom_site_fract_x
_atom_site_fract_y
_atom_site_fract_z
Cr1 Cr 0.0000 0.5000 0.0000
Ag1 Ag 0.0000 0.0000 0.5000
Br1 Br 0.5000 0.5000 0.5000
O1 O 0.0000 0.0000 0.0000
```

The raw total energy comes out at -5.1886 eV/atom.